Compound: Rb2LiCd2
Source: the Alexandria database
Functional: PBE
Structure: optimized geometry

Cell lengths 4.2858, 4.2858, 24.0561 Å; angles 90.00, 90.00, 90.00 degrees
Fractional positions:
1 Rb 0.0000 0.0000 0.1143
2 Rb 0.0000 0.0000 0.8857
3 Rb 0.5000 0.5000 0.3857
4 Rb 0.5000 0.5000 0.6143
5 Li 0.0000 0.0000 0.5000
6 Li 0.5000 0.5000 0.0000
7 Cd 0.0000 0.5000 0.2500
8 Cd 0.0000 0.5000 0.7500
9 Cd 0.5000 0.0000 0.2500
10 Cd 0.5000 0.0000 0.7500

Properties
ρ in Mg/m³: 3.027
Energy relative to the lowest polymorph listed for this composition in meV per atom: 71
DOS at the Fermi energy in states/eV/f.u.: 3.905